Below is CrHg2Au at its PBEsol-relaxed geometry, with properties calculated at the SCAN level.

a b c (Å): 3.2767 3.7080 6.0114
angles (deg): 90.00 90.00 90.00
Last column: nearest neighbours and their distance in Å.
Fractional coordinates of all 4 atoms:
Au 0.5000 0.5000 0.0000  8 Hg 2.91, 2 Cr 3.01
Hg 0.0000 0.0000 0.7447  4 Cr 2.88, 4 Au 2.91, 2 Hg 2.94-3.07
Hg 0.0000 0.0000 0.2553  4 Cr 2.88, 4 Au 2.91, 2 Hg 2.94-3.07
Cr 0.5000 0.5000 0.5000  8 Hg 2.88, 2 Au 3.01

Total magnetization in μB per cell: 4.1
Formation energy from the elements in eV per atom: 0.094
Energy in hartree per atom: -2.0533
SG: Pmmm


Below is CrHgAu2 at its PBEsol-relaxed geometry, with properties calculated at the SCAN level.

a b c (Å): 3.0565 3.0565 7.4002
angles (deg): 90.00 90.00 90.00
Last column: nearest neighbours and their distance in Å.
Fractional coordinates of all 4 atoms:
Au 0.0000 0.0000 0.7768  4 Cr 2.72, 4 Hg 2.98
Au 0.0000 0.0000 0.2232  4 Cr 2.72, 4 Hg 2.98
Hg 0.5000 0.5000 0.5000  8 Au 2.98, 4 Hg 3.06
Cr 0.5000 0.5000 0.0000  8 Au 2.72

Total magnetization in μB per cell: 3.8
Formation energy from the elements in eV per atom: -0.044
Energy in hartree per atom: -2.0675
SG: P4/mmm


Below is CrHgAu2 at its PBEsol-relaxed geometry, with properties calculated at the SCAN level.

a b c (Å): 3.0168 3.0168 9.0878
angles (deg): 80.45 80.45 60.00
Last column: nearest neighbours and their distance in Å.
Fractional coordinates of all 4 atoms:
Au 0.2428 0.2428 0.2716  3 Cr 2.68, 3 Hg 2.98
Au 0.7572 0.7572 0.7284  3 Cr 2.68, 3 Hg 2.98
Hg 0.0000 0.0000 0.0000  6 Au 2.98, 6 Hg 3.02
Cr 0.5000 0.5000 0.5000  6 Au 2.68

Total magnetization in μB per cell: 3.7
Formation energy from the elements in eV per atom: 0.070
Energy in hartree per atom: -2.0633
SG: R-3m


Below is CrHgAu2 at its PBEsol-relaxed geometry, with properties calculated at the SCAN level.

a b c (Å): 3.1076 4.9444 4.8644
angles (deg): 102.00 90.00 108.32
Last column: nearest neighbours and their distance in Å.
Fractional coordinates of all 4 atoms:
Au 0.7397 0.4794 0.7364  3 Cr 2.77-2.92, 4 Au 2.82-2.97, 3 Hg 2.82-2.94
Au 0.2603 0.5206 0.2636  3 Cr 2.77-2.92, 4 Au 2.82-2.97, 3 Hg 2.82-2.94
Cr 0.0000 0.0000 0.5000  6 Au 2.77-2.92, 4 Hg 2.89
Hg 0.5000 0.0000 0.0000  6 Au 2.82-2.94, 4 Cr 2.89, 2 Hg 3.11

Total magnetization in μB per cell: 4.1
Formation energy from the elements in eV per atom: 0.020
Energy in hartree per atom: -2.0652
SG: C2/m


Below is Cr2HgAu at its PBEsol-relaxed geometry, with properties calculated at the SCAN level.

a b c (Å): 3.8263 3.8263 4.8687
angles (deg): 113.14 113.14 90.00
Last column: nearest neighbours and their distance in Å.
Fractional coordinates of all 4 atoms:
Au 0.5000 0.5000 0.0000  4 Hg 2.71, 8 Cr 2.78
Cr 0.7500 0.2500 0.5000  4 Cr 2.71, 4 Hg 2.78, 4 Au 2.78
Cr 0.2500 0.7500 0.5000  4 Cr 2.71, 4 Hg 2.78, 4 Au 2.78
Hg 0.0000 0.0000 0.0000  4 Au 2.71, 8 Cr 2.78

Total magnetization in μB per cell: 0.0
Formation energy from the elements in eV per atom: 0.637
Energy in hartree per atom: -1.5760
SG: I4/mmm


Below is CrAuI3 at its PBEsol-relaxed geometry, with properties calculated at the SCAN level.

a b c (Å): 5.3429 5.3429 5.3429
angles (deg): 90.00 90.00 90.00
Last column: nearest neighbours and their distance in Å.
Fractional coordinates of all 5 atoms:
I 0.0000 0.0000 0.5000  2 Cr 2.67
I 0.5000 0.0000 0.0000  2 Cr 2.67
I 0.0000 0.5000 0.0000  2 Cr 2.67
Cr 0.0000 0.0000 0.0000  6 I 2.67
Au 0.5000 0.5000 0.5000  12 I 3.78

Total magnetization in μB per cell: 3.6
Energy in hartree per atom: -1.4442
Formation energy from raw total energies in eV/atom: 0.255
SG: Pm-3m
Relative energy among the computed polymorphs in meV/atom: 0


Below is KCrAu2I at its PBEsol-relaxed geometry, with properties calculated at the SCAN level.

a b c (Å): 5.3783 5.3783 6.1134
angles (deg): 90.00 90.00 90.00
Last column: nearest neighbours and their distance in Å.
Fractional coordinates of all 5 atoms:
Au 0.5000 0.0000 0.0000  2 I 2.69
Au 0.0000 0.5000 0.0000  2 I 2.69
Cr 0.5000 0.5000 0.5000  4 K 3.80, 8 Au 4.07
K 0.0000 0.0000 0.5000  2 I 3.06
I 0.0000 0.0000 0.0000  4 Au 2.69

Total magnetization in μB per cell: 5.8
Energy in hartree per atom: -1.4588
Formation energy from raw total energies in eV/atom: 0.659
SG: P4/mmm


Below is CrAuI2N at its PBEsol-relaxed geometry, with properties calculated at the SCAN level.

a b c (Å): 3.5560 5.4310 5.4310
angles (deg): 90.00 90.00 90.00
Last column: nearest neighbours and their distance in Å.
Fractional coordinates of all 5 atoms:
N 0.5000 0.0000 0.0000  2 Cr 1.78
Au 0.5000 0.5000 0.5000  8 I 3.25, 2 Au 3.56
Cr 0.0000 0.0000 0.0000  2 N 1.78
I 0.0000 0.5000 0.0000  2 Cr 2.72
I 0.0000 0.0000 0.5000  2 Cr 2.72

Total magnetization in μB per cell: 1.8
Energy in hartree per atom: -1.2406
Formation energy from raw total energies in eV/atom: 0.304
SG: P4/mmm


Below is CrSbAuI2 at its PBEsol-relaxed geometry, with properties calculated at the SCAN level.

a b c (Å): 5.3501 5.5329 5.5329
angles (deg): 90.00 90.00 90.00
Last column: nearest neighbours and their distance in Å.
Fractional coordinates of all 5 atoms:
Sb 0.5000 0.0000 0.0000  2 Au 2.68
Cr 0.5000 0.5000 0.5000  8 I 3.85, 4 Sb 3.91
I 0.0000 0.0000 0.5000  2 Au 2.77
I 0.0000 0.5000 0.0000  2 Au 2.77
Au 0.0000 0.0000 0.0000  2 Sb 2.68, 4 I 2.77

Total magnetization in μB per cell: 3.9
Energy in hartree per atom: -1.4351
Formation energy from raw total energies in eV/atom: 0.606
SG: P4/mmm


Below is CrSnAu2I at its PBEsol-relaxed geometry, with properties calculated at the SCAN level.

a b c (Å): 5.0115 5.0115 5.0734
angles (deg): 90.00 90.00 90.00
Last column: nearest neighbours and their distance in Å.
Fractional coordinates of all 5 atoms:
Cr 0.0000 0.0000 0.0000  4 Au 2.51, 2 I 2.54
Sn 0.5000 0.5000 0.5000  4 I 3.54, 8 Au 3.57
I 0.0000 0.0000 0.5000  2 Cr 2.54
Au 0.5000 0.0000 0.0000  2 Cr 2.51
Au 0.0000 0.5000 0.0000  2 Cr 2.51

Total magnetization in μB per cell: 3.7
Energy in hartree per atom: -1.6689
Formation energy from raw total energies in eV/atom: 0.460
SG: P4/mmm


Below is CrInAu2 at its PBEsol-relaxed geometry, with properties calculated at the SCAN level.

a b c (Å): 3.1467 3.1467 8.6914
angles (deg): 79.57 79.57 60.00
Last column: nearest neighbours and their distance in Å.
Fractional coordinates of all 4 atoms:
Cr 0.5000 0.5000 0.5000  6 Au 2.69
Au 0.2443 0.2443 0.2672  3 Cr 2.69, 3 In 2.91
Au 0.7557 0.7557 0.7328  3 Cr 2.69, 3 In 2.91
In 0.0000 0.0000 0.0000  6 Au 2.91, 6 In 3.15

Total magnetization in μB per cell: 3.8
Formation energy from the elements in eV per atom: -0.003
Energy in hartree per atom: -1.7465
SG: R-3m


Below is CrInAu2 at its PBEsol-relaxed geometry, with properties calculated at the SCAN level.

a b c (Å): 3.0828 3.0828 8.8493
angles (deg): 79.97 79.97 60.00
Last column: nearest neighbours and their distance in Å.
Fractional coordinates of all 4 atoms:
Au 0.7539 0.7539 0.7382  3 Cr 2.66, 3 Au 2.86
Au 0.0010 0.0010 0.9970  3 In 2.86, 9 Au 2.86-3.08
In 0.2484 0.2484 0.2549  3 Cr 2.84, 3 Au 2.86, 6 In 3.08
Cr 0.4967 0.4967 0.5099  3 Au 2.66, 3 In 2.84

Total magnetization in μB per cell: 4.0
Formation energy from the elements in eV per atom: 0.076
Energy in hartree per atom: -1.7436
SG: R3m